YSc2AlBr (GGA-PBE, optimized geometry); V = 30.193 Å³ per atom; electronic total energy = -22.34 eV/cell; symmetry = P4/mmm
1.0
5.330 0.000 0.000
0.000 5.313 0.000
0.000 0.000 5.330
Y Sc Al Br
1 2 1 1
Cartesian
2.665 2.657 2.665
0.000 0.000 2.665
2.665 0.000 0.000
0.000 0.000 0.000
0.000 2.657 0.000